Below is crystalline RbTc3Br at its relaxed geometry, with properties calculated at the PBEsol level.

a = 4.680 Å, b = 4.680 Å, c = 4.680 Å
α = 90.00°, β = 90.00°, γ = 90.00°
Positions (direct):
Rb1 0.000 0.000 0.000
Tc1 0.000 0.500 0.500
Tc2 0.500 0.000 0.500
Tc3 0.500 0.500 0.000
Br1 0.500 0.500 0.500

Energy: -27.00 eV/cell
Space-group type: No. 221
ρ: 7.4 g/cm³



Below is crystalline RbZnTc2Br at its relaxed geometry, with properties calculated at the PBEsol level.

a = 4.966 Å, b = 4.966 Å, c = 5.538 Å
α = 90.00°, β = 90.00°, γ = 90.00°
Positions (direct):
Rb1 0.000 0.000 0.000
Zn1 0.000 0.000 0.500
Tc1 0.000 0.500 0.000
Tc2 0.500 0.000 0.000
Br1 0.500 0.500 0.500

Energy: -13.19 eV/cell
Space-group type: No. 123
ρ: 5.2 g/cm³



Below is crystalline RbTe3Br at its relaxed geometry, with properties calculated at the PBEsol level.

a = 6.687 Å, b = 6.687 Å, c = 6.687 Å
α = 90.00°, β = 90.00°, γ = 90.00°
Positions (direct):
Rb1 0.000 0.000 0.000
Te1 0.000 0.000 0.500
Te2 0.000 0.500 0.000
Te3 0.500 0.000 0.000
Br1 0.500 0.500 0.500

Energy: -8.26 eV/cell
Space-group type: No. 221
ρ: 3.0 g/cm³



Below is crystalline Rb2TeBr at its relaxed geometry, with properties calculated at the PBEsol level.

a = 9.398 Å, b = 9.398 Å, c = 6.956 Å
α = 90.00°, β = 90.00°, γ = 90.00°
Positions (direct):
Rb1 0.225 0.750 0.125
Rb2 0.250 0.225 0.875
Rb3 0.250 0.275 0.375
Rb4 0.275 0.750 0.625
Rb5 0.725 0.250 0.625
Rb6 0.750 0.725 0.375
Rb7 0.750 0.775 0.875
Rb8 0.775 0.250 0.125
Te1 0.000 0.000 0.500
Te2 0.000 0.500 0.750
Te3 0.500 0.000 0.250
Te4 0.500 0.500 0.000
Br1 0.000 0.000 0.000
Br2 0.000 0.500 0.250
Br3 0.500 0.000 0.750
Br4 0.500 0.500 0.500

Energy: -44.88 eV/cell
Space-group type: No. 122
ρ: 4.1 g/cm³



Below is crystalline Rb2TiBr at its relaxed geometry, with properties calculated at the PBEsol level.

a = 9.689 Å, b = 9.689 Å, c = 7.714 Å
α = 90.00°, β = 90.00°, γ = 90.00°
Positions (direct):
Rb1 0.199 0.750 0.125
Rb2 0.250 0.199 0.875
Rb3 0.250 0.301 0.375
Rb4 0.301 0.750 0.625
Rb5 0.699 0.250 0.625
Rb6 0.750 0.699 0.375
Rb7 0.750 0.801 0.875
Rb8 0.801 0.250 0.125
Ti1 0.000 0.000 0.500
Ti2 0.000 0.500 0.750
Ti3 0.500 0.000 0.250
Ti4 0.500 0.500 0.000
Br1 0.000 0.000 0.000
Br2 0.000 0.500 0.250
Br3 0.500 0.000 0.750
Br4 0.500 0.500 0.500

Energy: -44.05 eV/cell
Space-group type: No. 122
ρ: 2.7 g/cm³



Below is crystalline RbTiBr3 at its relaxed geometry, with properties calculated at the PBEsol level.

a = 7.567 Å, b = 7.567 Å, c = 5.730 Å
α = 90.00°, β = 90.00°, γ = 120.00°
Positions (direct):
Rb1 0.333 0.667 0.250
Rb2 0.667 0.333 0.750
Ti1 0.000 0.000 0.000
Ti2 0.000 0.000 0.500
Br1 0.168 0.336 0.750
Br2 0.168 0.832 0.750
Br3 0.336 0.168 0.250
Br4 0.664 0.832 0.750
Br5 0.832 0.168 0.250
Br6 0.832 0.664 0.250

Energy: -43.48 eV/cell
Space-group type: No. 194
ρ: 4.4 g/cm³



Below is crystalline RbTlBr3 at its relaxed geometry, with properties calculated at the PBEsol level.

a = 8.090 Å, b = 8.079 Å, c = 5.729 Å
α = 90.00°, β = 91.00°, γ = 90.00°
Positions (direct):
Rb1 0.000 0.000 0.000
Rb2 0.500 0.500 0.000
Tl1 0.018 0.500 0.419
Tl2 0.518 0.000 0.419
Br1 0.024 0.500 0.914
Br2 0.268 0.249 0.401
Br3 0.268 0.751 0.401
Br4 0.524 0.000 0.914
Br5 0.768 0.251 0.401
Br6 0.768 0.749 0.401

Energy: -28.80 eV/cell
Space-group type: No. 8
ρ: 4.7 g/cm³



Below is crystalline Rb2YTlBr6 at its relaxed geometry, with properties calculated at the PBEsol level.

a = 8.267 Å, b = 8.267 Å, c = 8.267 Å
α = 60.00°, β = 60.00°, γ = 60.00°
Positions (direct):
Rb1 0.250 0.250 0.250
Rb2 0.750 0.750 0.750
Y1 0.000 0.000 0.000
Tl1 0.500 0.500 0.500
Br1 0.235 0.235 0.765
Br2 0.235 0.765 0.235
Br3 0.235 0.765 0.765
Br4 0.765 0.235 0.235
Br5 0.765 0.235 0.765
Br6 0.765 0.765 0.235

Energy: -38.46 eV/cell
Space-group type: No. 225
ρ: 3.9 g/cm³



Below is crystalline Rb2UBr6 at its relaxed geometry, with properties calculated at the PBEsol level.

a = 7.932 Å, b = 7.932 Å, c = 11.247 Å
α = 90.00°, β = 90.00°, γ = 90.00°
Positions (direct):
Rb1 0.000 0.500 0.250
Rb2 0.000 0.500 0.750
Rb3 0.500 0.000 0.250
Rb4 0.500 0.000 0.750
U1 0.000 0.000 0.000
U2 0.500 0.500 0.500
Br1 0.000 0.000 0.247
Br2 0.000 0.000 0.753
Br3 0.214 0.278 0.000
Br4 0.222 0.286 0.500
Br5 0.278 0.786 0.000
Br6 0.286 0.778 0.500
Br7 0.500 0.500 0.253
Br8 0.500 0.500 0.747
Br9 0.714 0.222 0.500
Br10 0.722 0.214 0.000
Br11 0.778 0.714 0.500
Br12 0.786 0.722 0.000

Energy: -77.51 eV/cell
Space-group type: No. 128
ρ: 4.2 g/cm³



Below is crystalline Rb2UBr5 at its relaxed geometry, with properties calculated at the PBEsol level.

a = 13.679 Å, b = 9.155 Å, c = 8.572 Å
α = 90.00°, β = 90.00°, γ = 90.00°
Positions (direct):
Rb1 0.172 0.006 0.059
Rb2 0.172 0.494 0.059
Rb3 0.328 0.506 0.559
Rb4 0.328 0.994 0.559
Rb5 0.672 0.006 0.441
Rb6 0.672 0.494 0.441
Rb7 0.828 0.506 0.941
Rb8 0.828 0.994 0.941
U1 0.003 0.250 0.570
U2 0.497 0.750 0.070
U3 0.503 0.250 0.930
U4 0.997 0.750 0.430
Br1 0.009 0.250 0.914
Br2 0.075 0.544 0.664
Br3 0.075 0.956 0.664
Br4 0.179 0.250 0.380
Br5 0.202 0.750 0.342
Br6 0.298 0.250 0.842
Br7 0.321 0.750 0.880
Br8 0.425 0.044 0.164
Br9 0.425 0.456 0.164
Br10 0.491 0.750 0.414
Br11 0.509 0.250 0.586
Br12 0.575 0.544 0.836
Br13 0.575 0.956 0.836
Br14 0.679 0.250 0.120
Br15 0.702 0.750 0.158
Br16 0.798 0.250 0.658
Br17 0.821 0.750 0.620
Br18 0.925 0.044 0.336
Br19 0.925 0.456 0.336
Br20 0.991 0.750 0.086

Energy: -140.74 eV/cell
Space-group type: No. 62
ρ: 5.0 g/cm³



Below is crystalline RbVBr3 at its relaxed geometry, with properties calculated at the PBEsol level.

a = 7.298 Å, b = 7.298 Å, c = 6.355 Å
α = 90.00°, β = 90.00°, γ = 120.00°
Positions (direct):
Rb1 0.333 0.667 0.250
Rb2 0.667 0.333 0.750
V1 0.000 0.000 0.000
V2 0.000 0.000 0.500
Br1 0.162 0.324 0.750
Br2 0.162 0.838 0.750
Br3 0.324 0.162 0.250
Br4 0.676 0.838 0.750
Br5 0.838 0.162 0.250
Br6 0.838 0.676 0.250

Energy: -44.19 eV/cell
Space-group type: No. 194
ρ: 4.3 g/cm³



Below is crystalline Rb3V2Br9 at its relaxed geometry, with properties calculated at the PBEsol level.

a = 7.320 Å, b = 7.320 Å, c = 18.330 Å
α = 90.00°, β = 90.00°, γ = 120.00°
Positions (direct):
Rb1 0.000 0.000 0.250
Rb2 0.000 0.000 0.750
Rb3 0.333 0.667 0.067
Rb4 0.333 0.667 0.433
Rb5 0.667 0.333 0.567
Rb6 0.667 0.333 0.933
V1 0.333 0.667 0.664
V2 0.333 0.667 0.836
V3 0.667 0.333 0.164
V4 0.667 0.333 0.336
Br1 0.013 0.507 0.750
Br2 0.171 0.343 0.590
Br3 0.171 0.343 0.910
Br4 0.171 0.829 0.590
Br5 0.171 0.829 0.910
Br6 0.343 0.171 0.090
Br7 0.343 0.171 0.410
Br8 0.493 0.507 0.750
Br9 0.493 0.987 0.750
Br10 0.507 0.013 0.250
Br11 0.507 0.493 0.250
Br12 0.657 0.829 0.590
Br13 0.657 0.829 0.910
Br14 0.829 0.171 0.090
Br15 0.829 0.171 0.410
Br16 0.829 0.657 0.090
Br17 0.829 0.657 0.410
Br18 0.987 0.493 0.250

Energy: -113.81 eV/cell
Space-group type: No. 194
ρ: 4.2 g/cm³



Below is crystalline Rb2WBr6 at its relaxed geometry, with properties calculated at the PBEsol level.

a = 7.344 Å, b = 7.344 Å, c = 7.344 Å
α = 60.00°, β = 60.00°, γ = 60.00°
Positions (direct):
Rb1 0.250 0.250 0.250
Rb2 0.750 0.750 0.750
W1 0.000 0.000 0.000
Br1 0.243 0.243 0.757
Br2 0.243 0.757 0.243
Br3 0.243 0.757 0.757
Br4 0.757 0.243 0.243
Br5 0.757 0.243 0.757
Br6 0.757 0.757 0.243

Energy: -36.45 eV/cell
Space-group type: No. 225
ρ: 4.9 g/cm³



Below is crystalline Rb3ZnBr5 at its relaxed geometry, with properties calculated at the PBEsol level.

a = 8.976 Å, b = 10.418 Å, c = 13.272 Å
α = 90.00°, β = 90.00°, γ = 90.00°
Positions (direct):
Rb1 0.084 0.250 0.048
Rb2 0.088 0.018 0.329
Rb3 0.088 0.482 0.329
Rb4 0.412 0.518 0.829
Rb5 0.412 0.982 0.829
Rb6 0.416 0.750 0.548
Rb7 0.584 0.250 0.452
Rb8 0.588 0.018 0.171
Rb9 0.588 0.482 0.171
Rb10 0.912 0.518 0.671
Rb11 0.912 0.982 0.671
Rb12 0.916 0.750 0.952
Zn1 0.189 0.250 0.608
Zn2 0.311 0.750 0.108
Zn3 0.689 0.250 0.892
Zn4 0.811 0.750 0.392
Br1 0.039 0.750 0.489
Br2 0.132 0.250 0.784
Br3 0.165 0.750 0.763
Br4 0.186 0.556 0.063
Br5 0.186 0.944 0.063
Br6 0.314 0.056 0.563
Br7 0.314 0.444 0.563
Br8 0.335 0.250 0.263
Br9 0.368 0.750 0.284
Br10 0.461 0.250 0.989
Br11 0.539 0.750 0.011
Br12 0.632 0.250 0.716
Br13 0.665 0.750 0.737
Br14 0.686 0.556 0.437
Br15 0.686 0.944 0.437
Br16 0.814 0.056 0.937
Br17 0.814 0.444 0.937
Br18 0.835 0.250 0.237
Br19 0.868 0.750 0.216
Br20 0.961 0.250 0.511

Energy: -109.01 eV/cell
Space-group type: No. 62
ρ: 3.9 g/cm³



Below is crystalline Rb2ZnBr at its relaxed geometry, with properties calculated at the PBEsol level.

a = 8.451 Å, b = 8.451 Å, c = 8.451 Å
α = 90.00°, β = 90.00°, γ = 90.00°
Positions (direct):
Rb1 0.250 0.250 0.250
Rb2 0.250 0.250 0.750
Rb3 0.250 0.750 0.250
Rb4 0.250 0.750 0.750
Rb5 0.750 0.250 0.250
Rb6 0.750 0.250 0.750
Rb7 0.750 0.750 0.250
Rb8 0.750 0.750 0.750
Zn1 0.000 0.000 0.000
Zn2 0.000 0.500 0.500
Zn3 0.500 0.000 0.500
Zn4 0.500 0.500 0.000
Br1 0.000 0.000 0.500
Br2 0.000 0.500 0.000
Br3 0.500 0.000 0.000
Br4 0.500 0.500 0.500

Energy: -30.04 eV/cell
Space-group type: No. 225
ρ: 3.5 g/cm³



Below is crystalline Re2Br at its relaxed geometry, with properties calculated at the PBEsol level.

a = 11.125 Å, b = 2.968 Å, c = 7.017 Å
α = 90.00°, β = 116.64°, γ = 90.00°
Positions (direct):
Re1 0.077 0.000 0.219
Re2 0.138 0.500 0.976
Re3 0.362 0.000 0.024
Re4 0.423 0.500 0.781
Re5 0.577 0.500 0.219
Re6 0.638 0.000 0.976
Re7 0.862 0.500 0.024
Re8 0.923 0.000 0.781
Br1 0.157 0.500 0.591
Br2 0.343 0.000 0.409
Br3 0.657 0.000 0.591
Br4 0.843 0.500 0.409

Energy: -107.03 eV/cell
Space-group type: No. 12
ρ: 14.5 g/cm³



Below is crystalline ReBr3 at its relaxed geometry, with properties calculated at the PBEsol level.

a = 3.107 Å, b = 4.828 Å, c = 12.512 Å
α = 90.00°, β = 90.00°, γ = 90.00°
Positions (direct):
Re1 0.000 0.000 0.000
Re2 0.500 0.500 0.500
Br1 0.000 0.000 0.500
Br2 0.000 0.500 0.339
Br3 0.000 0.500 0.661
Br4 0.500 0.000 0.161
Br5 0.500 0.000 0.839
Br6 0.500 0.500 0.000

Energy: -35.22 eV/cell
Space-group type: No. 71
Distance to the lowest polymorph of the same formula: 96.8 meV per atom
ρ: 7.5 g/cm³



Below is crystalline ReBr3 at its relaxed geometry, with properties calculated at the PBEsol level.

a = 3.369 Å, b = 10.265 Å, c = 6.319 Å
α = 90.00°, β = 90.00°, γ = 90.00°
Positions (direct):
Re1 0.000 0.000 0.000
Re2 0.500 0.500 0.500
Br1 0.000 0.339 0.352
Br2 0.000 0.500 0.801
Br3 0.000 0.661 0.352
Br4 0.500 0.000 0.301
Br5 0.500 0.161 0.852
Br6 0.500 0.839 0.852

Energy: -36.00 eV/cell
Space-group type: No. 44
Distance to the lowest polymorph of the same formula: 0.0 meV per atom
ρ: 6.5 g/cm³



Below is crystalline Re2Rh2Br at its relaxed geometry, with properties calculated at the PBEsol level.

a = 4.548 Å, b = 4.548 Å, c = 8.780 Å
α = 90.00°, β = 90.00°, γ = 90.00°
Positions (direct):
Re1 0.000 0.000 0.131
Re2 0.000 0.000 0.869
Re3 0.500 0.500 0.369
Re4 0.500 0.500 0.631
Rh1 0.000 0.500 0.250
Rh2 0.000 0.500 0.750
Rh3 0.500 0.000 0.250
Rh4 0.500 0.000 0.750
Br1 0.000 0.000 0.500
Br2 0.500 0.500 0.000

Energy: -80.00 eV/cell
Space-group type: No. 139
ρ: 12.0 g/cm³



Below is crystalline Re2RhBr at its relaxed geometry, with properties calculated at the PBEsol level.

a = 2.897 Å, b = 4.404 Å, c = 9.428 Å
α = 90.00°, β = 90.00°, γ = 90.00°
Positions (direct):
Re1 0.000 0.000 0.228
Re2 0.000 0.000 0.772
Re3 0.500 0.500 0.272
Re4 0.500 0.500 0.728
Rh1 0.000 0.500 0.000
Rh2 0.500 0.000 0.500
Br1 0.000 0.500 0.500
Br2 0.500 0.000 0.000

Energy: -66.10 eV/cell
Space-group type: No. 71
ρ: 15.3 g/cm³



Below is crystalline ReRhSe2Br at its relaxed geometry, with properties calculated at the PBEsol level.

a = 4.692 Å, b = 4.692 Å, c = 5.214 Å
α = 90.00°, β = 90.00°, γ = 90.00°
Positions (direct):
Re1 0.000 0.000 0.000
Rh1 0.500 0.500 0.500
Se1 0.000 0.500 0.000
Se2 0.500 0.000 0.000
Br1 0.000 0.000 0.500

Energy: -25.66 eV/cell
Space-group type: No. 123
ρ: 7.6 g/cm³



Below is crystalline Re2RuBr at its relaxed geometry, with properties calculated at the PBEsol level.

a = 5.137 Å, b = 8.206 Å, c = 2.876 Å
α = 90.00°, β = 90.00°, γ = 90.00°
Positions (direct):
Re1 0.250 0.250 0.000
Re2 0.250 0.750 0.000
Re3 0.750 0.250 0.000
Re4 0.750 0.750 0.000
Ru1 0.000 0.000 0.500
Ru2 0.500 0.500 0.500
Br1 0.000 0.500 0.500
Br2 0.500 0.000 0.500

Energy: -67.88 eV/cell
Space-group type: No. 65
ρ: 15.2 g/cm³



no.,ΔE_f (raw) (kJ/mol of formula units),volume (Å³/f.u.)
1,935,102.51
2,1333,136.58
3,503,299.03
4,-364,153.59
5,119,181.03
6,-654,142.06
7,-495,187.19
8,-1519,399.56
9,-1286,353.81
10,-1122,268.37
11,-562,146.56
12,-1711,425.26
13,-904,280.10
14,-1278,310.26
15,-194,150.89
16,172,51.77
17,128,93.84
18,91,109.27
19,464,90.80
20,349,60.14
21,519,114.79
22,460,60.62